Computed, not measured: CoAg4Ru after structural relaxation at the PBE level of DFT.

Unit cell a=7.4926 b=7.4926 c=7.4926 alpha=90.00 beta=90.00 gamma=90.00
Space group F-43m (No. 216)
Asymmetric unit:
Co  0.0000  0.0000  0.0000 [4 per cell]
Ag  0.1250  0.1250  0.3750 [16 per cell]
Ru  0.2500  0.2500  0.7500 [4 per cell]

Results
* crystal system: cubic
* energy of formation: 0.804 eV per atom